This record from OQMD via LeMat-Bulk describes a geometry-optimized PaInNO structure. The functional is PBE.

Lattice parameters (Å, degrees): 7.230 7.291 4.889 90.00 90.00 90.00
Space group Cmme (No. 67)
Asymmetric unit:
Pa: 0.250 0.000 0.000 [4 per cell]
In: 0.000 0.250 0.496 [4 per cell]
N: 0.000 0.250 0.978 [4 per cell]
O: 0.250 0.000 0.500 [4 per cell]

Energy above the most stable polymorph in this dataset: 356 meV/atom
V: 64.43 Å³/f.u.
Magnetization: 4.3 Bohr magnetons per cell